[1]
A plane-wave DFT calculation with PBE was carried out for a relaxed structure of HfAg2F8.

Unit cell a=4.2212 b=6.8456 c=6.8448 alpha=120.01 beta=90.00 gamma=90.00
Last column: nearest neighbours and their distance in Å.
Fractional positions:
F (0.7553, 0.3334, 0.6667)  2 Ag 2.11
F (0.2447, 0.6666, 0.3332)  2 Ag 2.11
Ag (0.7449, 0.6667, 0.3332)  5 F 2.11-2.25
F (0.2512, 0.1432, 0.2877)  1 Hf 2.01, 1 Ag 2.25
F (0.7488, 0.8568, 0.7123)  1 Hf 2.01, 1 Ag 2.25
F (0.2512, 0.1445, 0.8568)  1 Hf 2.01, 1 Ag 2.25
F (0.7488, 0.8556, 0.1432)  1 Hf 2.01, 1 Ag 2.25
F (0.2512, 0.7123, 0.8555)  1 Hf 2.01, 1 Ag 2.25
F (0.7488, 0.2877, 0.1445)  1 Hf 2.01, 1 Ag 2.25
Ag (0.2551, 0.3333, 0.6667)  5 F 2.11-2.25
Hf (0.0000, 0.0000, 0.0000)  6 F 2.01

Results
Total DFT energy (no corrections)   -5.06 eV per atom
Total moment   0.000 μB/atom
Energy above the lowest structure with this stoichiometry   0.0 kJ/mol of atoms
Theoretical density   5.30 g cm⁻³
Formation energy without anion corrections   -2.279 eV per atom
DOS at the Fermi energy   12.00 states/eV per cell

[2]
A plane-wave DFT calculation with PBE was carried out for a relaxed structure of Hf3AgF.

Unit cell a=5.1372 b=5.1372 c=5.1372 alpha=90.00 beta=90.00 gamma=90.00
Last column: nearest neighbours and their distance in Å.
Fractional positions:
Hf (0.0000, 0.0000, 0.5000)  2 Ag 2.57
F (0.5000, 0.5000, 0.5000)  12 Hf 3.63
Hf (0.0000, 0.5000, 0.0000)  2 Ag 2.57
Ag (0.0000, 0.0000, 0.0000)  6 Hf 2.57
Hf (0.5000, 0.0000, 0.0000)  2 Ag 2.57

Results
Total DFT energy (no corrections)   -5.94 eV per atom
Total moment   0.400 μB/atom
Energy above the lowest structure with this stoichiometry   122.5 kJ/mol of atoms
Theoretical density   8.11 g cm⁻³
Formation energy without anion corrections   0.977 eV per atom
DOS at the Fermi energy   2.80 states/eV per cell

[3]
A plane-wave DFT calculation with PBE was carried out for a relaxed structure of Hf2Ag2F.

Unit cell a=6.1395 b=6.1395 c=4.8739 alpha=90.00 beta=90.00 gamma=90.00
Last column: nearest neighbours and their distance in Å.
Fractional positions:
F (0.5000, 0.5000, 0.0000)  4 Hf 2.30
Hf (0.6631, 0.1631, 0.0000)  2 F 2.30
F (0.0000, 0.0000, 0.0000)  4 Hf 2.30
Hf (0.1631, 0.3369, 0.0000)  2 F 2.30
Ag (0.3427, 0.1573, 0.5000)  1 Ag 2.73, 2 Hf 2.89
Hf (0.8369, 0.6631, 0.0000)  2 F 2.30
Ag (0.8427, 0.3427, 0.5000)  1 Ag 2.73, 2 Hf 2.89
Ag (0.1573, 0.6573, 0.5000)  1 Ag 2.73, 2 Hf 2.89
Hf (0.3369, 0.8369, 0.0000)  2 F 2.30
Ag (0.6573, 0.8427, 0.5000)  1 Ag 2.73, 2 Hf 2.89

Results
Total DFT energy (no corrections)   -6.16 eV per atom
Total moment   0.000 μB/atom
Energy above the lowest structure with this stoichiometry   0.0 kJ/mol of atoms
Theoretical density   10.70 g cm⁻³
Formation energy without anion corrections   -0.659 eV per atom
DOS at the Fermi energy   5.15 states/eV per cell

Repeat the third record exactly.
A plane-wave DFT calculation with PBE was carried out for a relaxed structure of Hf2Ag2F.

Unit cell a=6.1395 b=6.1395 c=4.8739 alpha=90.00 beta=90.00 gamma=90.00
Last column: nearest neighbours and their distance in Å.
Fractional positions:
F (0.5000, 0.5000, 0.0000)  4 Hf 2.30
Hf (0.6631, 0.1631, 0.0000)  2 F 2.30
F (0.0000, 0.0000, 0.0000)  4 Hf 2.30
Hf (0.1631, 0.3369, 0.0000)  2 F 2.30
Ag (0.3427, 0.1573, 0.5000)  1 Ag 2.73, 2 Hf 2.89
Hf (0.8369, 0.6631, 0.0000)  2 F 2.30
Ag (0.8427, 0.3427, 0.5000)  1 Ag 2.73, 2 Hf 2.89
Ag (0.1573, 0.6573, 0.5000)  1 Ag 2.73, 2 Hf 2.89
Hf (0.3369, 0.8369, 0.0000)  2 F 2.30
Ag (0.6573, 0.8427, 0.5000)  1 Ag 2.73, 2 Hf 2.89

Results
Total DFT energy (no corrections)   -6.16 eV per atom
Total moment   0.000 μB/atom
Energy above the lowest structure with this stoichiometry   0.0 kJ/mol of atoms
Theoretical density   10.70 g cm⁻³
Formation energy without anion corrections   -0.659 eV per atom
DOS at the Fermi energy   5.15 states/eV per cell